Entry 1:
Computed, not measured: a relaxed structure of Li2Zn3Cu at the GGA-PBE level of DFT.

Results
DFT total energy: -0.0782 hartree per atom
excess energy over the best structure of this formula in the dataset: 0.000 eV per atom
ΔH_f (0 K): -0.170 eV per atom
DOS at the Fermi energy: 0.24 states/eV per atom

Lattice parameters (Å, degrees): 5.1138 5.1138 8.1033 90.00 90.00 120.00
Last column: nearest neighbours and their distance in Å.
Space group P6_3/mmc (No. 194)
Inequivalent atoms, fractional coordinates:
Li (0.3333, 0.6667, 0.0612) (multiplicity 4)  9 Zn 2.91-2.98, 3 Cu 2.99, 4 Li 3.06-3.11
Zn (0.1697, 0.3394, 0.7500) (multiplicity 6)  4 Zn 2.51-2.60, 2 Cu 2.52
Cu (0.0000, 0.0000, 0.0000) (multiplicity 2)  6 Zn 2.52

***

Entry 2:
Computed, not measured: a relaxed structure of Be5Rh4Au at the GGA-PBE level of DFT.

Results
DFT total energy: -0.2093 hartree per atom
ΔH_f (0 K): -0.565 eV per atom
DOS at the Fermi energy: 0.53 states/eV per atom

Lattice parameters (Å, degrees): 2.8327 2.8327 13.9999 90.00 90.00 90.00
Last column: nearest neighbours and their distance in Å.
Space group P4/mmm (No. 123)
Inequivalent atoms, fractional coordinates:
Be (0.0000, 0.0000, 0.0000) (multiplicity 1)  8 Rh 2.43, 2 Be 2.72
Be (0.0000, 0.0000, 0.1942) (multiplicity 2)  8 Rh 2.41-2.45, 1 Be 2.57
Be (0.0000, 0.0000, 0.3781) (multiplicity 2)  4 Rh 2.31, 1 Be 2.57
Rh (0.5000, 0.5000, 0.0982) (multiplicity 2)  8 Be 2.41-2.43
Rh (0.5000, 0.5000, 0.2955) (multiplicity 2)  8 Be 2.31-2.45
Au (0.5000, 0.5000, 0.5000) (multiplicity 1)  8 Be 2.63, 4 Au 2.83, 2 Rh 2.86